# Sr8Si2PtO14

A geometry-optimized Sr8Si2PtO14 structure (PBE, Alexandria via LeMat-Bulk).

## Properties
As for the total energy: -6.67 eV/atom. The theoretical density is 5.178 Mg/m³. As for the uncorrected formation energy: -67.05 eV per formula unit.

Structure (CIF):
```
data_Sr8Si2PtO14
_chemical_formula_sum 'Sr16 Si4 Pt2 O28'
_symmetry_space_group_name_H-M 'C 1 2 1'
_symmetry_Int_Tables_number 5
_cell_length_a 19.1034
_cell_length_b 5.7921
_cell_length_c 7.2805
_cell_angle_alpha 90.00
_cell_angle_beta 110.54
_cell_angle_gamma 90.00
loop_
_symmetry_equiv_pos_as_xyz
'x,y,z'
'-x,y,-z'
'x+1/2,y+1/2,z'
'-x+1/2,y+1/2,-z'
loop_
_atom_site_label
_atom_site_fract_x
_atom_site_fract_y
_atom_site_fract_z
Sr1 0.0226 0.0000 0.2991
Sr2 0.0920 0.4795 0.9562
Sr3 0.1657 0.5009 0.4931
Sr4 0.1861 0.9950 0.7889
Si1 0.1722 0.9761 0.2059
Pt1 0.0000 0.5010 0.5000
O1 0.0379 0.5054 0.2580
O2 0.0802 0.2597 0.6406
O3 0.0797 0.7405 0.6394
O4 0.0885 0.0258 0.0417
O5 0.1748 0.0318 0.4298
O6 0.1952 0.7019 0.1978
O7 0.2337 0.1416 0.1555
```

---

# Nb5VRu6

A geometry-optimized Nb5VRu6 structure (PBE, Alexandria via LeMat-Bulk).

## Properties
Its formation energy is -0.263 eV per atom. As for the total energy: -9.86 eV/atom. The theoretical density is 9.895 Mg/m³.

Structure (CIF):
```
data_Nb5VRu6
_chemical_formula_sum 'Nb10 V2 Ru12'
_symmetry_space_group_name_H-M 'I m m m'
_symmetry_Int_Tables_number 71
_symmetry_space_group_name_Hall '-I 2 2'
_cell_length_a 4.3170
_cell_length_b 6.9264
_cell_length_c 12.5927
_cell_angle_alpha 90.00
_cell_angle_beta 90.00
_cell_angle_gamma 90.00
loop_
_atom_site_label
_atom_site_fract_x
_atom_site_fract_y
_atom_site_fract_z
Nb1 0.0000 0.0000 0.0000
Nb2 0.0000 0.0000 0.3170
Nb3 0.0000 0.5000 0.3585
V1 0.0000 0.5000 0.0000
Ru1 0.0000 0.2077 0.5000
Ru2 0.0000 0.2769 0.1648
```

---

Question: theoretical density of number 2 (Nb5VRu6)?
Answer: 9.895 Mg/m³